{
  "formula": "LiCa2La",
  "functional": "SCAN",
  "state": "PBEsol geometry",
  "lattice_angstrom": [[3.8382, 0.0000, 0.0000], [0.0000, 3.8382, 0.0000], [0.0000, 0.0000, 9.1492]],
  "species": ["Li", "Ca", "Ca", "La"],
  "fractional_positions": [[0.0000, 0.0000, 0.0000], [0.0000, 0.0000, 0.5016], [0.5000, 0.5000, 0.2050], [0.5000, 0.5000, 0.7875]],
  "sg": "P4mm, No. 99",
  "ef_mev_per_atom": 64,
  "de_polymorph_mev_per_atom": 0.0
}